Density functional theory data (PBE) for ReRhI2 after structural relaxation.

Structure (POSCAR):
```
ReRhI2
1.0
5.971 0.000 0.000
0.000 5.971 0.000
2.986 2.986 6.024
Re Rh I
2 2 4
Cartesian
0.000 0.000 0.000
5.971 2.986 3.012
2.986 2.986 0.000
2.986 5.971 3.012
4.495 1.493 1.506
1.476 4.478 1.506
7.464 7.481 4.518
4.478 4.461 4.518
```

Results
relative energy among the computed polymorphs = 0.000 eV/atom
calculated total energy = -0.17106 Ha/atom
uncorrected formation energy = 1.070 eV/atom